Material: GaHS2
Method: DFT, PBE
State: relaxed

Lattice parameters (Å, degrees): 5.054 5.054 6.201 65.95 65.95 90.00
Fractional positions:
S1 0.162 0.625 0.250
S2 0.375 0.412 0.750
S3 0.588 0.125 0.250
S4 0.875 0.838 0.750
Ga1 0.750 0.250 0.500
Ga2 0.000 0.000 0.000
H1 0.250 0.750 0.500
H2 0.500 0.500 0.000

Its relative energy among the computed polymorphs is 1.34 eV per formula unit. The crystal system is tetragonal. For the final energy, the calculation gives -3.797 eV/atom. The space-group type is I-42d (122). As for the density of states at the Fermi level: 0.0 states/eV/cell. Its density is 3.46 g/cm3.